# PmHoMgIn (PBE-GGA, optimized geometry)
# Magnetization = 0.00 Bohr magnetons per cell
# Symmetry = F-43m (216)
# Total DFT energy (no corrections) = -3.73 eV/atom
data_PmHoMgIn
_space_group_name_H-M_alt 'P 1'
_space_group_IT_number 1
_cell_length_a 5.360
_cell_length_b 5.360
_cell_length_c 5.360
_cell_angle_alpha 60.00
_cell_angle_beta 60.00
_cell_angle_gamma 60.00
loop_
_space_group_symop_operation_xyz
'x,y,z'
loop_
_atom_site_label
_atom_site_fract_x
_atom_site_fract_y
_atom_site_fract_z
Pm1 0.000 0.000 0.000
Ho1 0.500 0.500 0.500
Mg1 0.750 0.750 0.750
In1 0.250 0.250 0.250